Compound: CuTe2
Source: Alexandria via LeMat-Bulk
Functional: PBE
Structure: relaxed

Cell lengths 6.514, 6.514, 5.887 Å; angles 90.00, 90.00, 144.23 degrees
Element x y z (fractional)
1 Cu 0.054 0.946 0.000
2 Cu 0.390 0.610 0.500
3 Te 0.413 0.587 0.000
4 Te 0.697 0.303 0.000
5 Te 0.747 0.253 0.500
6 Te 0.031 0.969 0.500

Total moment in μB/f.u.: 0.00
DFT total energy in eV per atom: -3.448
Mass density in g/cm3: 7.2
SG: No. 63